SiSe2Br after structural relaxation, computed with PBE-GGA.

Cell and atoms, written as CIF:
```
data_SiSe2Br
_symmetry_space_group_name_H-M 'I m m m'
_symmetry_Int_Tables_number 71
_symmetry_space_group_name_Hall '-I 2 2'
_cell_length_a 3.5152
_cell_length_b 4.2457
_cell_length_c 12.2761
_cell_angle_alpha 90.00
_cell_angle_beta 90.00
_cell_angle_gamma 90.00
loop_
_atom_site_label
_atom_site_fract_x
_atom_site_fract_y
_atom_site_fract_z
_atom_site_occupancy
Si1 0.0000 0.0000 0.0000 1
Se1 0.0000 0.5000 0.2684 1
Br1 0.0000 0.0000 0.5000 1
```



# Ba2MgIn6Hg (PBE-GGA, optimized geometry)
# ΔE_f in eV per atom: -0.047
data_Ba2MgIn6Hg
_symmetry_space_group_name_H-M 'C 1 2/m 1'
_symmetry_Int_Tables_number 12
_cell_length_a 11.0926
_cell_length_b 11.1103
_cell_length_c 7.7130
_cell_angle_alpha 90.00
_cell_angle_beta 133.80
_cell_angle_gamma 90.00
loop_
_symmetry_equiv_pos_as_xyz
'x,y,z'
'-x,-y,-z'
'-x,y,-z'
'x,-y,z'
'x+1/2,y+1/2,z'
'-x+1/2,-y+1/2,-z'
'-x+1/2,y+1/2,-z'
'x+1/2,-y+1/2,z'
loop_
_atom_site_label
_atom_site_fract_x
_atom_site_fract_y
_atom_site_fract_z
_atom_site_occupancy
Ba1 0.0000 0.2495 0.0000 1
Mg1 0.0000 0.0000 0.5000 1
In1 0.0000 0.2476 0.5000 1
In2 0.2468 0.0000 0.9955 1
In3 0.2478 0.0000 0.5006 1
Hg1 0.0000 0.5000 0.5000 1



| no. | calculated density (g/cm3) | E (eV/atom) |
| --- | --- | --- |
| 1 | 4.820 | -3.157 |
| 2 | 5.753 | -2.265 |